[1]
Material: Rb3Pr3TiO8
Method: DFT, GGA-PBE
State: relaxed

abc: 7.0724 7.0726 7.7963
angles: 116.99 90.00 120.00
Positions (direct):
1 Pr 0.5000 0.5000 0.5000
2 O 0.2330 0.0349 0.3369
3 Ti 0.0000 0.0000 0.5000
4 Rb 0.0000 0.5000 0.0000
5 O 0.7670 0.9651 0.6631
6 Pr 0.5000 0.0000 0.5000
7 O 0.2724 0.5448 0.3173
8 O 0.7276 0.4552 0.6827
9 Pr 0.0000 0.5000 0.5000
10 O 0.8019 0.0349 0.3369
11 Rb 0.5000 0.5000 0.0000
12 O 0.8019 0.6038 0.3369
13 O 0.1981 0.3962 0.6631
14 Rb 0.0000 0.0000 0.0000
15 O 0.1981 0.9651 0.6631

- space-group type = R-3m (166)
- formation energy from raw total energies (eV/atom) = -2.608
- calculated total energy (eV per atom) = -6.929


[2]
Material: Cr2CoBiMo
Method: DFT, GGA-PBE
State: relaxed

abc: 4.4741 4.8109 4.4741
angles: 90.00 90.00 90.00
Each line ends with the local moment (μB).
Positions (direct):
1 Bi 0.0000 0.5000 0.0000  0.04
2 Cr 0.0000 0.0000 0.5000  2.89
3 Cr 0.5000 0.0000 0.0000  3.37
4 Co 0.0000 0.0000 0.0000  -0.12
5 Mo 0.5000 0.5000 0.5000  -2.49

- space-group type = P4/mmm (123)
- formation energy from the elements (meV per atom) = 1271.8
- calculated total energy (eV per atom) = -6.941


[3]
Material: Ac2AgAs3Rh4
Method: DFT, GGA-PBE
State: relaxed

abc: 4.3204 4.3204 10.7110
angles: 90.00 90.00 90.00
Positions (direct):
1 Ag 0.5000 0.5000 0.5000
2 Ac 0.0000 0.5000 0.7443
3 Rh 0.5000 0.0000 0.6471
4 Ac 0.5000 0.0000 0.2557
5 Rh 0.0000 0.5000 0.3529
6 As 0.5000 0.0000 0.8732
7 As 0.0000 0.0000 0.5000
8 Rh 0.5000 0.5000 0.0000
9 Rh 0.0000 0.0000 0.0000
10 As 0.0000 0.5000 0.1268

- space-group type = P-4m2 (115)
- formation energy from the elements (meV per atom) = -770.8
- calculated total energy (eV per atom) = -6.213


[4]
Material: BaZn2Hg2
Method: DFT, GGA-PBE
State: relaxed

abc: 4.7055 4.7055 6.8003
angles: 69.76 69.76 90.00
Positions (direct):
1 Zn 0.7500 0.2500 0.5000
2 Zn 0.2500 0.7500 0.5000
3 Ba 0.0000 0.0000 0.0000
4 Hg 0.3713 0.3713 0.2573
5 Hg 0.6287 0.6287 0.7427

- space-group type = I4/mmm (139)
- formation energy from the elements (meV per atom) = -272.4
- calculated total energy (eV per atom) = -1.287


[5]
Material: Pm12YHo6
Method: DFT, GGA-PBE
State: relaxed

abc: 9.2290 9.2290 9.2290
angles: 106.67 106.67 106.67
Positions (direct):
1 Pm 0.8078 0.4193 0.5164
2 Ho 0.1899 0.4547 0.0768
3 Ho 0.8101 0.5453 0.9232
4 Ho 0.4547 0.0768 0.1899
5 Pm 0.1338 0.8261 0.2796
6 Pm 0.5164 0.8078 0.4193
7 Pm 0.4836 0.1922 0.5807
8 Y 0.0000 0.0000 0.0000
9 Ho 0.0768 0.1899 0.4547
10 Pm 0.4193 0.5164 0.8078
11 Pm 0.5807 0.4836 0.1922
12 Pm 0.8261 0.2796 0.1338
13 Ho 0.5453 0.9232 0.8101
14 Ho 0.9232 0.8101 0.5453
15 Pm 0.2796 0.1338 0.8261
16 Pm 0.1739 0.7204 0.8662
17 Pm 0.7204 0.8662 0.1739
18 Pm 0.1922 0.5807 0.4836
19 Pm 0.8662 0.1739 0.7204

- space-group type = R-3 (148)
- formation energy from the elements (meV per atom) = 239.0
- calculated total energy (eV per atom) = -4.547


[6]
Material: Cu3Ni2Pt2
Method: DFT, GGA-PBE
State: relaxed

abc: 4.5248 3.7019 5.9345
angles: 89.96 97.56 114.17
Each line ends with the local moment (μB).
Positions (direct):
1 Ni 0.7112 0.8558 0.5668  0.53
2 Cu 0.4250 0.7125 0.1444  0.02
3 Pt 0.1479 0.5741 0.7175  0.12
4 Cu 0.5750 0.2875 0.8556  0.02
5 Pt 0.8521 0.4259 0.2825  0.12
6 Ni 0.2888 0.1442 0.4332  0.53
7 Cu 0.0000 0.0000 0.0000  0.03

- space-group type = C2/m (12)
- formation energy from the elements (meV per atom) = -83.4
- calculated total energy (eV per atom) = -5.217


[7]
Material: Er6Bi2Rh
Method: DFT, GGA-PBE
State: relaxed

abc: 6.4386 7.8443 10.2972
angles: 90.00 92.14 90.00
Positions (direct):
1 Er 0.3664 0.5205 0.7492
2 Er 0.6360 0.1770 0.9589
3 Er 0.6373 0.1896 0.5383
4 Er 0.6336 0.4795 0.2508
5 Bi 0.3998 0.1154 0.2538
6 Er 0.1373 0.3104 0.0383
7 Er 0.1360 0.3230 0.4589
8 Er 0.8640 0.6770 0.5411
9 Er 0.8627 0.6896 0.9617
10 Er 0.1336 0.0205 0.7508
11 Rh 0.5000 0.5000 0.0000
12 Bi 0.8998 0.3846 0.7538
13 Er 0.3627 0.8104 0.4617
14 Er 0.3640 0.8230 0.0411
15 Bi 0.1002 0.6154 0.2462
16 Rh 0.0000 0.0000 0.5000
17 Bi 0.6002 0.8846 0.7462
18 Er 0.8664 0.9795 0.2492

- space-group type = P2_1/c (14)
- formation energy from the elements (meV per atom) = -511.8
- calculated total energy (eV per atom) = -5.233


[8]
Material: MgGaAgSn
Method: DFT, GGA-PBE
State: relaxed

abc: 4.9368 4.9368 4.9368
angles: 60.00 60.00 60.00
Positions (direct):
1 Mg 0.5000 0.5000 0.5000
2 Ag 0.0000 0.0000 0.0000
3 Ga 0.2500 0.2500 0.2500
4 Sn 0.7500 0.7500 0.7500

- space-group type = F-43m (216)
- formation energy from the elements (meV per atom) = -5.8
- calculated total energy (eV per atom) = -2.875


[9]
Material: NbTc2HW
Method: DFT, GGA-PBE
State: relaxed

abc: 4.0463 4.0463 4.0123
angles: 90.00 90.00 90.00
Positions (direct):
1 Tc 0.5000 0.0000 0.0000
2 Tc 0.0000 0.5000 0.0000
3 Nb 0.0000 0.0000 0.5000
4 W 0.5000 0.5000 0.5000
5 H 0.0000 0.0000 0.0000

- space-group type = P4/mmm (123)
- calculated total energy (eV per atom) = -9.330


[10]
Material: Pm5Pr4Sm3
Method: DFT, GGA-PBE
State: relaxed

abc: 6.0775 8.7651 9.9150
angles: 105.98 72.15 69.71
Positions (direct):
1 Pr 0.1644 0.0496 0.6215
2 Pm 0.3743 0.0523 0.1991
3 Sm 0.4812 0.3106 0.7271
4 Pm 0.5000 0.5000 0.5000
5 Pr 0.8356 0.9504 0.3785
6 Sm 0.0000 0.5000 0.5000
7 Pm 0.7826 0.5453 0.8895
8 Pr 0.8587 0.2243 0.0583
9 Pm 0.2174 0.4547 0.1105
10 Pr 0.1413 0.7757 0.9417
11 Pm 0.6257 0.9477 0.8009
12 Sm 0.5188 0.6894 0.2729

- space-group type = C2/m (12)
- formation energy from the elements (meV per atom) = 198.5
- calculated total energy (eV per atom) = -4.554


[11]
Material: PrHo8Sc2
Method: DFT, GGA-PBE
State: relaxed

abc: 5.3522 8.1242 9.1930
angles: 116.22 106.92 90.00
Positions (direct):
1 Sc 0.1996 0.6994 0.3992
2 Ho 0.8352 0.8351 0.6705
3 Ho 0.1648 0.1649 0.3295
4 Ho 0.6436 0.8488 0.2873
5 Ho 0.3564 0.1512 0.7127
6 Pr 0.5000 0.0000 0.0000
7 Ho 0.3565 0.5615 0.7131
8 Sc 0.8004 0.3006 0.6008
9 Ho 0.6435 0.4385 0.2869
10 Ho 0.0001 0.6999 0.0001
11 Ho 0.9999 0.3001 0.9999

- space-group type = Immm (71)
- formation energy from the elements (meV per atom) = 127.1
- calculated total energy (eV per atom) = -4.788


[12]
Material: CaZr3Bi
Method: DFT, GGA-PBE
State: relaxed

abc: 5.1465 5.1465 5.1465
angles: 90.00 90.00 90.00
Each line ends with the local moment (μB).
Positions (direct):
1 Zr 0.0000 0.5000 0.0000  0.38
2 Ca 0.0000 0.0000 0.0000  0.10
3 Zr 0.5000 0.0000 0.0000  0.43
4 Bi 0.5000 0.5000 0.5000  -0.04
5 Zr 0.0000 0.0000 0.5000  0.29

- space-group type = Pm-3m (221)
- formation energy from the elements (meV per atom) = 1383.2
- calculated total energy (eV per atom) = -4.922


[13]
Material: UFeMoP2
Method: DFT, GGA-PBE
State: relaxed

abc: 4.0175 4.0175 5.5755
angles: 111.12 111.12 90.00
Each line ends with the local moment (μB).
Positions (direct):
1 Fe 0.7500 0.2500 0.5000  -0.89
2 U 0.0000 0.0000 0.0000  1.87
3 Mo 0.2500 0.7500 0.5000  -0.13
4 P 0.6241 0.6241 0.2482  -0.01
5 P 0.3759 0.3759 0.7518  -0.01

- space-group type = I-4m2 (119)
- formation energy from the elements (meV per atom) = -570.4
- calculated total energy (eV per atom) = -8.851


[14]
Material: Tb2Ho8In3
Method: DFT, GGA-PBE
State: relaxed

abc: 6.3741 6.3741 12.1699
angles: 74.82 74.82 60.00
Each line ends with the local moment (μB).
Positions (direct):
1 Tb 0.3633 0.3633 0.9101  0.31
2 In 0.0000 0.0000 0.0000  -0.02
3 Ho 0.7791 0.2805 0.6598  0.05
4 Ho 0.2209 0.7195 0.3402  0.05
5 In 0.8118 0.8118 0.5645  0.01
6 Ho 0.7195 0.2209 0.3402  0.05
7 Ho 0.2805 0.2805 0.6598  0.05
8 Ho 0.2737 0.2737 0.1788  0.26
9 Tb 0.6367 0.6367 0.0899  0.31
10 Ho 0.7263 0.7263 0.8212  0.26
11 In 0.1882 0.1882 0.4355  0.01
12 Ho 0.7195 0.7195 0.3402  0.05
13 Ho 0.2805 0.7791 0.6598  0.05

- space-group type = R-3m (166)
- formation energy from the elements (meV per atom) = 121.6
- calculated total energy (eV per atom) = -4.040


[15]
Material: NbZn3H
Method: DFT, GGA-PBE
State: relaxed

abc: 5.3173 5.3173 5.3173
angles: 90.00 90.00 90.00
Each line ends with the local moment (μB).
Positions (direct):
1 Zn 0.5000 0.0000 0.0000  0.17
2 Zn 0.0000 0.0000 0.5000  0.04
3 H 0.5000 0.5000 0.5000  0.32
4 Zn 0.0000 0.5000 0.0000  0.09
5 Nb 0.0000 0.0000 0.0000  2.46

- space-group type = Pm-3m (221)
- calculated total energy (eV per atom) = -2.012


[16]
Material: TmBRh
Method: DFT, GGA-PBE
State: relaxed

abc: 4.1129 3.6678 3.6678
angles: 120.00 90.00 90.00
Positions (direct):
1 Tm 0.6667 0.3333 0.6667
2 B 0.1667 0.6667 0.3333
3 Rh 0.1667 0.0000 0.0000

- space-group type = P-6m2 (187)
- formation energy from the elements (meV per atom) = -606.9
- calculated total energy (eV per atom) = -6.774


[17]
Material: LiSm2Co2
Method: DFT, GGA-PBE
State: relaxed

abc: 3.9828 3.9143 7.3799
angles: 105.38 90.00 90.00
Each line ends with the local moment (μB).
Positions (direct):
1 Sm 0.5000 0.3599 0.7197  -0.10
2 Sm 0.5000 0.6401 0.2803  -0.10
3 Co 0.0000 0.7878 0.5755  0.94
4 Co 0.0000 0.2122 0.4245  0.94
5 Li 0.0000 0.0000 0.0000  -0.01

- space-group type = Cmmm (65)
- formation energy from the elements (meV per atom) = -53.4
- calculated total energy (eV per atom) = -5.166


[18]
Material: FePRu2
Method: DFT, GGA-PBE
State: relaxed

abc: 4.1874 4.1874 4.1874
angles: 60.00 60.00 60.00
Each line ends with the local moment (μB).
Positions (direct):
1 Fe 0.5000 0.5000 0.5000  2.06
2 P 0.7500 0.7500 0.7500  0.01
3 Ru 0.0000 0.0000 0.0000  0.07
4 Ru 0.2500 0.2500 0.2500  0.48

- space-group type = F-43m (216)
- formation energy from the elements (meV per atom) = 202.8
- calculated total energy (eV per atom) = -7.903


[19]
Material: YCuPb2
Method: DFT, GGA-PBE
State: relaxed

abc: 3.5507 3.5507 8.2395
angles: 90.00 90.00 90.00
Positions (direct):
1 Pb 0.0000 0.0000 0.9549
2 Cu 0.5000 0.5000 0.7367
3 Pb 0.5000 0.5000 0.2604
4 Y 0.0000 0.0000 0.5480

- space-group type = P4mm (99)
- formation energy from the elements (meV per atom) = -84.2
- calculated total energy (eV per atom) = -4.578


[20]
Material: Li2MnZnN
Method: DFT, GGA-PBE
State: relaxed

abc: 4.0601 4.0601 3.6984
angles: 90.00 90.00 90.00
Each line ends with the local moment (μB).
Positions (direct):
1 Mn 0.0000 0.0000 0.5000  2.66
2 Li 0.0000 0.5000 0.0000  -0.01
3 Li 0.5000 0.0000 0.0000  -0.01
4 Zn 0.5000 0.5000 0.5000  -0.03
5 N 0.0000 0.0000 0.0000  -0.06

- space-group type = P4/mmm (123)
- formation energy from raw total energies (eV/atom) = -0.235
- calculated total energy (eV per atom) = -4.754